A plane-wave DFT calculation with GGA+U was carried out for crystalline Pu2MnS2O2 at its relaxed geometry.

Computed properties:
The value obtained for the total energy is -68.56 eV per cell. The crystal system is monoclinic. As for the total magnetic moment: 2.143 μB per atom. Its space group is No. 12.

Cell: 3.7564 6.0927 6.4325 Å, 64.45 73.02 72.04°
Last column: magnetic moment on the atom in μB.
Positions (direct):
1 Pu 0.1912 0.3417 0.2760  5.07
2 Pu 0.8088 0.6583 0.7240  5.07
3 Mn 0.0000 0.0000 0.0000  4.53
4 S 0.5668 0.1952 0.6713  -0.04
5 S 0.4332 0.8048 0.3287  -0.04
6 O 0.1975 0.6851 0.9198  -0.08
7 O 0.8025 0.3149 0.0802  -0.08